No. 1
## NaLaSbIr (PBE)

Data for a relaxed structure of NaLaSbIr.

Results
The calculated density comes out at 8.92 g/cm3. The energy above the most stable polymorph in this dataset is 308 meV/atom. The space group is F-43m (216). The value obtained for the total moment is 0.003 Bohr magnetons per cell.

Unit cell a=5.004 b=5.004 c=5.004 alpha=60.00 beta=60.00 gamma=60.00
Sites, in units of the cell vectors:
Ir 0.000 0.000 0.000
La 0.500 0.500 0.500
Na 0.750 0.750 0.750
Sb 0.250 0.250 0.250

=====

No. 2
## Ni15Hg (PBE)

Data for a relaxed structure of Ni15Hg.

Results
The calculated density comes out at 6.24 g/cm3. The energy above the most stable polymorph in this dataset is 0 meV/atom. The space group is Pm (6). The value obtained for the formation energy is 120 meV per atom. The value obtained for the total moment is 11.299 Bohr magnetons per cell.

Unit cell a=4.983 b=3.446 c=33.525 alpha=90.00 beta=90.01 gamma=90.00
Last column: magnetic moment on the atom in μB.
Sites, in units of the cell vectors:
Hg 0.125 0.000 0.206  0.02
Hg 0.875 0.500 0.794  -0.02
Ni 0.625 0.000 0.224  -0.52
Ni 0.377 0.500 0.260  -0.54
Ni 0.873 0.500 0.260  -0.54
Ni 0.125 0.000 0.296  -0.49
Ni 0.625 0.000 0.297  -0.48
Ni 0.875 0.500 0.334  0.10
Ni 0.375 0.500 0.334  0.08
Ni 0.125 0.000 0.371  0.55
Ni 0.625 0.000 0.371  0.53
Ni 0.375 0.500 0.408  0.65
Ni 0.875 0.500 0.408  0.65
Ni 0.125 0.000 0.445  0.65
Ni 0.625 0.000 0.445  0.65
Ni 0.375 0.500 0.482  0.63
Ni 0.875 0.500 0.482  0.64
Ni 0.125 0.000 0.518  0.63
Ni 0.625 0.000 0.518  0.64
Ni 0.375 0.500 0.555  0.64
Ni 0.875 0.500 0.555  0.65
Ni 0.125 0.000 0.592  0.63
Ni 0.625 0.000 0.592  0.63
Ni 0.375 0.500 0.629  0.66
Ni 0.875 0.500 0.629  0.64
Ni 0.124 0.000 0.667  0.62
Ni 0.626 0.000 0.667  0.62
Ni 0.375 0.500 0.703  0.62
Ni 0.875 0.500 0.704  0.60
Ni 0.127 0.000 0.741  0.53
Ni 0.623 0.000 0.741  0.52
Ni 0.375 0.500 0.776  0.51

=====

No. 3
## Ta6SbOs (PBE)

Data for a relaxed structure of Ta6SbOs.

Results
The calculated density comes out at 16.17 g/cm3. The space group is Pm-3 (200). The value obtained for the total energy is -87.71 eV per cell. The value obtained for the total moment is 0.005 Bohr magnetons per cell.

Unit cell a=5.235 b=5.235 c=5.235 alpha=90.00 beta=90.00 gamma=90.00
Sites, in units of the cell vectors:
Os 0.000 0.000 0.000
Sb 0.500 0.500 0.500
Ta 0.500 0.245 0.000
Ta 0.500 0.755 0.000
Ta 0.000 0.500 0.245
Ta 0.245 0.000 0.500
Ta 0.755 0.000 0.500
Ta 0.000 0.500 0.755

=====

No. 4
## LaHf (PBE)

Data for a relaxed structure of LaHf.

Results
The calculated density comes out at 8.61 g/cm3. The energy above the most stable polymorph in this dataset is 778 meV/atom. The space group is Fm-3m (225). The value obtained for the formation energy is 1080 meV per atom. The value obtained for the total moment is 0.110 Bohr magnetons per cell.

Unit cell a=4.424 b=4.424 c=4.424 alpha=60.00 beta=60.00 gamma=60.00
Last column: magnetic moment on the atom in μB.
Sites, in units of the cell vectors:
Hf 0.000 0.000 0.000  0.06
La 0.500 0.500 0.500  0.02